Arrangement w

This record from Alexandria via LeMat-Bulk describes Nd2Ho6Er3 after structural relaxation. The functional is PBE-GGA.

Summary:
Its space group is I4/mmm (139). As for the total magnetization: 0.000 μB per formula unit.

Unit cell a=4.7155 b=4.7155 c=16.8826 alpha=98.03 beta=98.03 gamma=90.00
Positions (direct):
Er: 0.2010 0.2010 0.4021
Ho: 0.6961 0.6961 0.3922
Ho: 0.3775 0.8775 0.7549
Ho: 0.6225 0.1225 0.2451
Er: 0.7990 0.7990 0.5979
Ho: 0.8775 0.3775 0.7549
Nd: 0.4537 0.4537 0.9075
Ho: 0.3039 0.3039 0.6078
Ho: 0.1225 0.6225 0.2451
Er: 0.0000 0.0000 0.0000
Nd: 0.5463 0.5463 0.0925

***

Arrangement x

This record from Alexandria via LeMat-Bulk describes Nd2Ho6Er3 after structural relaxation. The functional is PBE-GGA.

Summary:
Its space group is C2/m (12). As for the total magnetization: 0.000 μB per formula unit.

Unit cell a=6.0783 b=6.0851 c=11.6631 alpha=84.97 beta=79.89 gamma=60.04
Positions (direct):
Ho: 0.0820 0.3336 0.7541
Er: 0.6653 0.6694 0.0000
Ho: 0.5844 0.3336 0.2459
Er: 0.0000 0.0000 0.0000
Ho: 0.9180 0.6664 0.2459
Ho: 0.2508 0.0000 0.2461
Nd: 0.1666 0.6668 0.5000
Er: 0.3347 0.3306 0.0000
Ho: 0.7492 0.0000 0.7539
Nd: 0.8334 0.3332 0.5000
Ho: 0.4156 0.6664 0.7541

***

Of them, the most stable is arrangement x and the least stable is arrangement w.

***

Arrangement w

This record from Alexandria via LeMat-Bulk describes Nd2Ho5Er4 after structural relaxation. The functional is PBE-GGA.

Summary:
Its space group is Immm (71). As for the total magnetization: 0.002 μB per formula unit.

Unit cell a=3.4769 b=8.9787 c=12.5468 alpha=110.97 beta=97.96 gamma=90.00
Positions (direct):
Ho: 0.1408 0.3353 0.2816
Nd: 0.2673 0.2673 0.5346
Ho: 0.8592 0.6647 0.7184
Ho: 0.8592 0.0537 0.7184
Ho: 0.5000 0.0000 0.0000
Er: 0.5970 0.5970 0.1939
Nd: 0.7327 0.7327 0.4654
Er: 0.0000 0.3115 0.0000
Er: 0.4030 0.4030 0.8061
Ho: 0.1408 0.9463 0.2816
Er: 0.0000 0.6885 0.0000

***

Arrangement x

This record from Alexandria via LeMat-Bulk describes Nd2Ho5Er4 after structural relaxation. The functional is PBE-GGA.

Summary:
Its space group is P-1 (2). As for the total magnetization: 0.000 μB per formula unit.

Unit cell a=3.5466 b=9.3819 c=11.7524 alpha=106.54 beta=81.36 gamma=112.24
Positions (direct):
Ho: 0.5000 0.0000 0.0000
Er: 0.7717 0.4537 0.3644
Er: 0.6848 0.6385 0.9066
Ho: 0.5892 0.8172 0.4560
Ho: 0.4108 0.1828 0.5440
Nd: 0.1366 0.7274 0.1819
Er: 0.2283 0.5463 0.6356
Er: 0.3152 0.3615 0.0934
Ho: 0.9560 0.0928 0.2735
Ho: 0.0440 0.9072 0.7265
Nd: 0.8634 0.2726 0.8181

***

Of them, the most stable is arrangement x and the least stable is arrangement w.

***

Arrangement w

This record from Alexandria via LeMat-Bulk describes Nd6Ho8Er after structural relaxation. The functional is PBE-GGA.

Summary:
Its space group is R-3 (148). As for the total magnetization: 0.000 μB per formula unit.

Unit cell a=9.0963 b=9.0963 c=8.7118 alpha=58.53 beta=58.53 gamma=60.00
Positions (direct):
Nd: 0.1026 0.2276 0.1314
Ho: 0.2825 0.8880 0.5789
Nd: 0.2276 0.5383 0.1314
Ho: 0.8880 0.2506 0.5789
Ho: 0.4232 0.4232 0.7305
Nd: 0.5383 0.1026 0.1314
Ho: 0.2506 0.2825 0.5789
Ho: 0.7175 0.1120 0.4211
Nd: 0.7724 0.4617 0.8686
Ho: 0.7494 0.7175 0.4211
Ho: 0.5768 0.5768 0.2695
Nd: 0.4617 0.8974 0.8686
Nd: 0.8974 0.7724 0.8686
Er: 0.0000 0.0000 0.0000
Ho: 0.1120 0.7494 0.4211

***

Arrangement x

This record from Alexandria via LeMat-Bulk describes Nd6Ho8Er after structural relaxation. The functional is PBE-GGA.

Summary:
Its space group is P-3 (147). As for the total magnetization: 0.000 μB per formula unit.

Unit cell a=6.5438 b=9.4829 c=9.4830 alpha=120.00 beta=90.00 gamma=90.00
Positions (direct):
Nd: 0.3911 0.3258 0.9203
Ho: 0.8642 0.3333 0.6667
Nd: 0.3911 0.0797 0.4055
Nd: 0.3911 0.5945 0.6742
Nd: 0.6089 0.6742 0.0797
Ho: 0.8856 0.9899 0.3038
Ho: 0.8856 0.3139 0.0101
Ho: 0.1144 0.6861 0.9899
Ho: 0.1144 0.3038 0.3139
Ho: 0.8856 0.6962 0.6861
Ho: 0.1144 0.0101 0.6962
Nd: 0.6089 0.4055 0.3258
Er: 0.5000 0.0000 0.0000
Ho: 0.1358 0.6667 0.3333
Nd: 0.6089 0.9203 0.5945

***

Of them, the most stable is arrangement w and the least stable is arrangement x.

***

Arrangement w

This record from Alexandria via LeMat-Bulk describes Nd4HoEr4 after structural relaxation. The functional is PBE-GGA.

Summary:
Its space group is I4/mmm (139). As for the total magnetization: 0.001 μB per formula unit.

Unit cell a=5.0512 b=8.0270 c=8.0270 alpha=84.32 beta=71.66 gamma=71.66
Positions (direct):
Nd: 0.6666 0.6667 0.0000
Nd: 0.3334 0.0000 0.3333
Er: 0.3354 0.6646 0.6646
Nd: 0.3334 0.3333 0.0000
Nd: 0.6666 0.0000 0.6667
Ho: 0.0000 0.0000 0.0000
Er: 0.0000 0.6646 0.3354
Er: 0.0000 0.3354 0.6646
Er: 0.6646 0.3354 0.3354

***

Arrangement x

This record from Alexandria via LeMat-Bulk describes Nd4HoEr4 after structural relaxation. The functional is PBE-GGA.

Summary:
Its space group is C2/m (12). As for the total magnetization: 0.000 μB per formula unit.

Unit cell a=5.6151 b=8.9404 c=8.9396 alpha=44.62 beta=71.66 gamma=71.66
Positions (direct):
Er: 0.3797 0.5736 0.6685
Er: 0.9299 0.7682 0.3734
Nd: 0.2802 0.1545 0.2855
Nd: 0.8673 0.3087 0.9579
Er: 0.6203 0.4264 0.3315
Nd: 0.7198 0.8455 0.7145
Nd: 0.1327 0.6913 0.0421
Ho: 0.5000 0.0000 0.0000
Er: 0.0701 0.2318 0.6266

***

Of them, the most stable is arrangement w and the least stable is arrangement x.